No. 1
Below is MgPaTcIr after structural relaxation, with properties calculated at the PBE level.

a b c (Å): 4.686 4.686 4.686
angles (deg): 60.00 60.00 60.00
Positions (direct):
Ir  0.000  0.000  0.000
Pa  0.750  0.750  0.750
Mg  0.250  0.250  0.250
Tc  0.500  0.500  0.500

Summary:
- DFT formation energy (meV/atom) = -388
- total DFT energy (no corrections) (eV/atom) = -7.967
- calculated volume (A^3/atom) = 18.19

No. 2
Below is Sm2DyTm after structural relaxation, with properties calculated at the PBE level.

a b c (Å): 5.022 5.062 5.062
angles (deg): 90.00 90.00 90.00
Positions (direct):
Sm  0.000  0.000  0.500
Sm  0.000  0.500  0.000
Dy  0.500  0.500  0.500
Tm  0.500  0.000  0.000

Summary:
- distance to the lowest polymorph of the same formula (kJ/mol of atoms) = 0.5
- DFT formation energy (meV/atom) = 21
- total DFT energy (no corrections) (eV/atom) = -4.607
- calculated volume (A^3/atom) = 32.18

No. 3
Below is Ta6NiRu5 after structural relaxation, with properties calculated at the PBE level.

a b c (Å): 4.261 6.966 7.601
angles (deg): 117.27 106.28 90.00
Positions (direct):
Ru  0.000  0.500  0.000
Ru  0.342  0.842  0.683
Ru  0.327  0.327  0.655
Ru  0.673  0.673  0.345
Ru  0.658  0.158  0.317
Ta  0.500  0.252  0.000
Ta  0.835  0.087  0.670
Ta  0.165  0.913  0.330
Ta  0.500  0.748  0.000
Ta  0.165  0.417  0.330
Ta  0.835  0.583  0.670
Ni  0.000  0.000  0.000

Summary:
- DFT formation energy (meV/atom) = -285
- total DFT energy (no corrections) (eV/atom) = -10.558
- calculated volume (A^3/atom) = 15.86

No. 4
Below is Hf8NbAl2 after structural relaxation, with properties calculated at the PBE level.

a b c (Å): 5.142 7.690 7.690
angles (deg): 119.44 103.38 103.38
Positions (direct):
Hf  0.292  0.605  0.605
Hf  0.708  0.395  0.395
Hf  0.500  0.210  0.790
Hf  0.146  0.327  0.099
Hf  0.500  0.790  0.210
Hf  0.854  0.673  0.901
Hf  0.146  0.099  0.327
Hf  0.854  0.901  0.673
Al  0.000  0.698  0.302
Al  0.000  0.302  0.698
Nb  0.500  0.000  0.000

Summary:
- DFT formation energy (meV/atom) = 37
- total DFT energy (no corrections) (eV/atom) = -8.797
- calculated volume (A^3/atom) = 21.38

No. 5
Below is TbPuTlCu after structural relaxation, with properties calculated at the PBE level.

a b c (Å): 5.216 5.216 5.216
angles (deg): 60.00 60.00 60.00
Positions (direct):
Tb  0.000  0.000  0.000
Cu  0.750  0.750  0.750
Pu  0.500  0.500  0.500
Tl  0.250  0.250  0.250

Summary:
- DFT formation energy (meV/atom) = -15
- total DFT energy (no corrections) (eV/atom) = -6.371
- calculated volume (A^3/atom) = 25.08

No. 6
Below is EuAl3Ni after structural relaxation, with properties calculated at the PBE level.

a b c (Å): 4.599 4.599 4.599
angles (deg): 90.00 90.00 90.00
Positions (direct):
Eu  0.500  0.500  0.500
Al  0.000  0.000  0.500
Al  0.000  0.500  0.000
Al  0.500  0.000  0.000
Ni  0.000  0.000  0.000

Summary:
- DFT formation energy (meV/atom) = -340
- total DFT energy (no corrections) (eV/atom) = -5.796
- calculated volume (A^3/atom) = 19.46

No. 7
Below is Ce4Sm3ScSe8 after structural relaxation, with properties calculated at the PBE level.

a b c (Å): 8.291 8.334 8.291
angles (deg): 119.84 120.00 90.00
Positions (direct):
Se  0.749  0.747  0.498
Se  0.759  0.261  0.518
Se  0.759  0.261  0.002
Se  0.251  0.253  0.502
Se  0.241  0.739  0.482
Se  0.758  0.739  0.998
Se  0.242  0.261  0.002
Se  0.241  0.739  0.998
Sc  0.000  0.500  0.000
Ce  0.500  0.000  0.500
Ce  0.500  0.000  0.000
Ce  0.000  0.000  0.000
Ce  0.000  0.000  0.500
Sm  0.500  0.500  0.500
Sm  0.500  0.500  0.000
Sm  0.000  0.500  0.500

Summary:
- E_form (uncorrected) (meV/atom) = -1784
- total DFT energy (no corrections) (eV/atom) = -6.290
- calculated volume (A^3/atom) = 25.38

No. 8
Below is YHg after structural relaxation, with properties calculated at the PBE level.

a b c (Å): 6.759 6.759 6.759
angles (deg): 139.46 124.43 71.01
Positions (direct):
Y  0.128  0.823  0.306
Y  0.999  0.500  0.499
Y  0.483  0.177  0.306
Hg  0.933  0.145  0.788
Hg  0.643  0.855  0.788
Hg  0.495  0.500  0.995

Summary:
- DFT formation energy (meV/atom) = -392
- total DFT energy (no corrections) (eV/atom) = -3.775
- calculated volume (A^3/atom) = 27.06

No. 9
Below is LaDyAu6 after structural relaxation, with properties calculated at the PBE level.

a b c (Å): 4.984 4.887 8.825
angles (deg): 91.46 73.60 59.34
Positions (direct):
La  0.000  0.500  0.500
Au  0.233  0.887  0.646
Au  0.767  0.113  0.354
Au  0.507  0.742  0.244
Au  0.493  0.258  0.756
Au  0.254  0.372  0.120
Au  0.746  0.628  0.880
Dy  0.000  0.000  0.000

Summary:
- DFT formation energy (meV/atom) = -661
- total DFT energy (no corrections) (eV/atom) = -4.310
- calculated volume (A^3/atom) = 21.70

No. 10
Below is YGe2As2 after structural relaxation, with properties calculated at the PBE level.

a b c (Å): 7.483 7.483 4.013
angles (deg): 90.00 90.00 90.00
Positions (direct):
As  0.124  0.376  0.000
As  0.624  0.124  0.000
As  0.376  0.876  0.000
As  0.876  0.624  0.000
Ge  0.223  0.723  0.500
Ge  0.777  0.277  0.500
Ge  0.277  0.223  0.500
Ge  0.723  0.777  0.500
Y  0.500  0.500  0.000
Y  0.000  0.000  0.000

Summary:
- DFT formation energy (meV/atom) = -257
- total DFT energy (no corrections) (eV/atom) = -5.257
- calculated volume (A^3/atom) = 22.47

No. 11
Below is SmLuGaIr after structural relaxation, with properties calculated at the PBE level.

a b c (Å): 4.961 4.961 4.961
angles (deg): 60.00 60.00 60.00
Positions (direct):
Ir  0.250  0.250  0.250
Ga  0.750  0.750  0.750
Lu  0.000  0.000  0.000
Sm  0.500  0.500  0.500

Summary:
- DFT formation energy (meV/atom) = -649
- total DFT energy (no corrections) (eV/atom) = -5.931
- calculated volume (A^3/atom) = 21.58

No. 12
Below is YTmLu2 after structural relaxation, with properties calculated at the PBE level.

a b c (Å): 5.584 5.584 5.584
angles (deg): 60.00 60.00 60.00
Positions (direct):
Lu  0.750  0.750  0.750
Lu  0.250  0.250  0.250
Y  0.500  0.500  0.500
Tm  0.000  0.000  0.000

Summary:
- distance to the lowest polymorph of the same formula (kJ/mol of atoms) = 9.2
- DFT formation energy (meV/atom) = 129
- total DFT energy (no corrections) (eV/atom) = -4.865
- calculated volume (A^3/atom) = 30.77

No. 13
Below is NaMgB3 after structural relaxation, with properties calculated at the PBE level.

a b c (Å): 4.376 4.376 4.376
angles (deg): 90.00 90.00 90.00
Positions (direct):
Na  0.000  0.000  0.000
B  0.500  0.000  0.000
B  0.000  0.500  0.000
B  0.000  0.000  0.500
Mg  0.500  0.500  0.500

Summary:
- distance to the lowest polymorph of the same formula (kJ/mol of atoms) = 47.6
- DFT formation energy (meV/atom) = 2476
- total DFT energy (no corrections) (eV/atom) = -2.113
- calculated volume (A^3/atom) = 16.75

No. 14
Below is Tm2ZrRh4 after structural relaxation, with properties calculated at the PBE level.

a b c (Å): 4.607 4.607 7.956
angles (deg): 73.17 73.17 60.00
Positions (direct):
Rh  0.882  0.882  0.355
Rh  0.118  0.118  0.645
Rh  0.372  0.372  0.885
Rh  0.628  0.628  0.115
Tm  0.239  0.239  0.282
Tm  0.761  0.761  0.718
Zr  0.000  0.000  0.000

Summary:
- DFT formation energy (meV/atom) = -649
- total DFT energy (no corrections) (eV/atom) = -7.348
- calculated volume (A^3/atom) = 19.69

No. 15
Below is BaTaSnPb2 after structural relaxation, with properties calculated at the PBE level.

a b c (Å): 5.997 5.918 5.997
angles (deg): 90.00 90.00 90.00
Positions (direct):
Ba  0.000  0.000  0.000
Pb  0.500  0.000  0.000
Pb  0.000  0.000  0.500
Sn  0.000  0.500  0.000
Ta  0.500  0.500  0.500

Summary:
- DFT formation energy (meV/atom) = 2027
- total DFT energy (no corrections) (eV/atom) = -3.012
- calculated volume (A^3/atom) = 42.57

No. 16
Below is CaPb4S5 after structural relaxation, with properties calculated at the PBE level.

a b c (Å): 5.955 7.289 7.289
angles (deg): 80.39 65.89 65.89
Positions (direct):
Pb  0.399  0.400  0.803
Pb  0.603  0.600  0.197
Pb  0.203  0.197  0.400
Pb  0.800  0.803  0.600
S  0.903  0.387  0.810
S  0.501  0.000  0.000
S  0.712  0.190  0.387
S  0.099  0.613  0.190
S  0.290  0.810  0.613
Ca  0.001  0.000  0.000

Summary:
- E_form (uncorrected) (meV/atom) = -854
- total DFT energy (no corrections) (eV/atom) = -4.601
- calculated volume (A^3/atom) = 26.36

No. 17
Below is CePuZn10 after structural relaxation, with properties calculated at the PBE level.

a b c (Å): 4.265 5.342 9.283
angles (deg): 90.00 90.00 90.00
Positions (direct):
Zn  0.500  0.500  0.000
Zn  0.000  0.500  0.836
Zn  0.500  0.250  0.250
Zn  0.500  0.750  0.750
Zn  0.000  0.000  0.670
Zn  0.500  0.250  0.750
Zn  0.500  0.000  0.500
Zn  0.500  0.750  0.250
Zn  0.000  0.000  0.330
Zn  0.000  0.500  0.164
Pu  0.000  0.000  0.000
Ce  0.000  0.500  0.500

Summary:
- DFT formation energy (meV/atom) = -186
- total DFT energy (no corrections) (eV/atom) = -2.937
- calculated volume (A^3/atom) = 17.63

No. 18
Below is KHfGa2Cl8 after structural relaxation, with properties calculated at the PBE level.

a b c (Å): 6.679 6.400 8.613
angles (deg): 87.84 88.31 87.67
Positions (direct):
Cl  0.838  0.220  0.202
Cl  0.847  0.230  0.793
Cl  0.358  0.303  0.501
Cl  0.290  0.222  0.995
Cl  0.710  0.778  0.005
Cl  0.162  0.780  0.798
Cl  0.153  0.770  0.207
Cl  0.642  0.697  0.499
Ga  0.510  0.516  0.267
Ga  0.490  0.484  0.733
K  0.000  0.000  0.500
Hf  0.000  0.000  0.000

Summary:
- E_form (uncorrected) (meV/atom) = -1368
- total DFT energy (no corrections) (eV/atom) = -4.025
- calculated volume (A^3/atom) = 30.62

No. 19
Below is NdHoEr6Tm2 after structural relaxation, with properties calculated at the PBE level.

a b c (Å): 9.392 8.708 8.708
angles (deg): 117.41 93.22 93.22
Positions (direct):
Tm  0.952  0.694  0.801
Tm  0.452  0.801  0.694
Tm  0.048  0.306  0.199
Tm  0.548  0.199  0.306
Er  0.117  0.709  0.489
Er  0.682  0.017  0.564
Er  0.318  0.983  0.436
Er  0.617  0.489  0.709
Er  0.443  0.247  0.877
Er  0.818  0.436  0.983
Er  0.383  0.511  0.291
Er  0.557  0.753  0.123
Er  0.943  0.877  0.247
Er  0.182  0.564  0.017
Er  0.883  0.291  0.511
Er  0.057  0.123  0.753
Ho  0.250  0.410  0.590
Ho  0.750  0.590  0.410
Nd  0.250  0.972  0.028
Nd  0.750  0.028  0.972

Summary:
- DFT formation energy (meV/atom) = 123
- total DFT energy (no corrections) (eV/atom) = -4.443
- calculated volume (A^3/atom) = 31.43

No. 20
Below is ErBe2Cl8 after structural relaxation, with properties calculated at the PBE level.

a b c (Å): 6.020 7.816 7.816
angles (deg): 67.47 84.16 84.16
Positions (direct):
Cl  0.773  0.680  0.680
Cl  0.239  0.289  0.910
Cl  0.307  0.836  0.836
Cl  0.693  0.164  0.164
Cl  0.227  0.320  0.320
Cl  0.761  0.090  0.711
Cl  0.761  0.711  0.090
Cl  0.239  0.910  0.289
Be  0.648  0.828  0.828
Be  0.352  0.172  0.172
Er  0.000  0.000  0.000

Summary:
- E_form (uncorrected) (meV/atom) = -1479
- total DFT energy (no corrections) (eV/atom) = -3.914
- calculated volume (A^3/atom) = 30.65

The evaluated spin magnetization for the records listed, in turn: 0.00, 0.00, 0.00, 0.00, 1.45, 1.44, 0.25, 0.00, 0.00, 0.00, 0.00, 0.00, 0.00, 0.00, 0.00, 0.00, 0.51, 0.00, 0.00, 0.10 μB per atom.